Material: SrPuMgSn
Method: DFT, PBE-GGA
State: relaxed

Calculated values
E_tot: -22.3 eV/cell
crystal system: cubic

The structure in POSCAR format:
```
SrPuMgSn
1.0
5.548 0.000 0.000
2.774 4.805 0.000
2.774 1.602 4.530
Mg Pu Sn Sr
1 1 1 1
Direct
0.250 0.250 0.250
0.000 0.000 0.000
0.750 0.750 0.750
0.500 0.500 0.500
```

=====

Material: TbPuMgSn
Method: DFT, PBE-GGA
State: relaxed

Calculated values
E_tot: -25.5 eV/cell
crystal system: cubic

The structure in POSCAR format:
```
TbPuMgSn
1.0
5.328 0.000 0.000
2.664 4.614 0.000
2.664 1.538 4.350
Tb Pu Sn Mg
1 1 1 1
Direct
0.000 0.000 0.000
0.500 0.500 0.500
0.250 0.250 0.250
0.750 0.750 0.750
```

=====

Material: PuMgTlSn
Method: DFT, PBE-GGA
State: relaxed

Calculated values
E_tot: -23.1 eV/cell
polymorph energy (0 for the lowest one): 0.00 eV/f.u.
crystal system: orthorhombic

The structure in POSCAR format:
```
PuMgTlSn
1.0
-3.071 2.663 1.727
-3.060 -1.397 -3.287
-1.498 -3.634 2.940
Mg Sn Pu Tl
1 1 1 1
Direct
0.500 0.000 0.500
0.000 0.000 0.000
0.500 0.500 0.000
0.000 0.500 0.500
```

=====

Material: PuMgTlSn
Method: DFT, PBE-GGA
State: relaxed

Calculated values
E_tot: -22.9 eV/cell
polymorph energy (0 for the lowest one): 0.22 eV/f.u.
crystal system: cubic

The structure in POSCAR format:
```
PuMgTlSn
1.0
-4.529 2.560 0.855
-2.578 -0.652 4.553
-0.185 3.929 3.511
Tl Mg Pu Sn
1 1 1 1
Direct
0.500 0.500 0.500
0.250 0.250 0.250
0.750 0.750 0.750
0.000 0.000 0.000
```

=====

Material: YPuMgSn
Method: DFT, PBE-GGA
State: relaxed

Calculated values
E_tot: -27.4 eV/cell
crystal system: cubic

The structure in POSCAR format:
```
YPuMgSn
1.0
-5.101 1.506 -0.268
-2.527 0.024 -4.688
-3.792 -3.604 -1.000
Y Pu Sn Mg
1 1 1 1
Direct
0.750 0.750 0.750
0.250 0.250 0.250
0.000 0.000 0.000
0.500 0.500 0.500
```

=====

Material: PuMg2Zn2Sn2
Method: DFT, PBE-GGA
State: relaxed

Calculated values
E_tot: -29.0 eV/cell
crystal system: trigonal

The structure in POSCAR format:
```
PuMg2Zn2Sn2
1.0
4.700 0.000 0.000
2.350 4.070 0.000
2.350 1.357 8.134
Mg Pu Zn Sn
2 1 2 2
Direct
0.862 0.862 0.413
0.138 0.138 0.587
0.000 0.000 0.000
0.556 0.556 0.333
0.444 0.444 0.667
0.738 0.738 0.787
0.262 0.262 0.213
```

=====

Material: PuMgZnSn
Method: DFT, PBE-GGA
State: relaxed

Calculated values
E_tot: -22.0 eV/cell
crystal system: cubic

The structure in POSCAR format:
```
PuMgZnSn
1.0
5.074 0.000 0.000
2.537 4.394 0.000
2.537 1.465 4.143
Sn Zn Mg Pu
1 1 1 1
Direct
0.250 0.250 0.250
0.750 0.750 0.750
0.500 0.500 0.500
0.000 0.000 0.000
```

=====

Material: SrPuMg
Method: DFT, PBE-GGA
State: relaxed

Calculated values
E_tot: -33.3 eV/cell
crystal system: monoclinic

The structure in POSCAR format:
```
SrPuMg
1.0
3.495 0.000 0.000
-1.747 3.832 0.851
0.000 -0.618 13.610
Mg Sr Pu
2 2 2
Direct
0.169 0.337 0.923
0.831 0.663 0.077
0.058 0.116 0.285
0.942 0.884 0.715
0.650 0.300 0.499
0.350 0.700 0.501
```

=====

Material: SrPuMg4
Method: DFT, PBE-GGA
State: relaxed

Calculated values
E_tot: -22.0 eV/cell
crystal system: cubic

The structure in POSCAR format:
```
SrPuMg4
1.0
6.247 0.000 0.000
3.123 5.410 0.000
3.123 1.803 5.100
Mg Sr Pu
4 1 1
Direct
0.624 0.624 0.127
0.127 0.624 0.624
0.624 0.127 0.624
0.624 0.624 0.624
0.000 0.000 0.000
0.250 0.250 0.250
```

=====

Material: SrPuMg2
Method: DFT, PBE-GGA
State: relaxed

Calculated values
E_tot: -18.7 eV/cell
polymorph energy (0 for the lowest one): 0.00 eV/f.u.
crystal system: tetragonal

The structure in POSCAR format:
```
SrPuMg2
1.0
3.917 0.000 0.000
0.000 3.917 0.000
0.000 0.000 8.195
Pu Sr Mg
1 1 2
Direct
0.500 0.500 0.000
0.500 0.500 0.500
0.000 0.000 0.223
0.000 0.000 0.777
```

=====

Material: SrPuMgTl
Method: DFT, PBE-GGA
State: relaxed

Calculated values
E_tot: -19.9 eV/cell
crystal system: cubic

The structure in POSCAR format:
```
SrPuMgTl
1.0
-0.622 4.235 3.628
-4.597 3.211 -0.197
-3.837 -0.341 4.080
Sr Tl Pu Mg
1 1 1 1
Direct
0.250 0.250 0.250
0.000 0.000 0.000
0.750 0.750 0.750
0.500 0.500 0.500
```

=====

Material: Tb2PuMg6
Method: DFT, PBE-GGA
State: relaxed

Calculated values
E_tot: -30.9 eV/cell
crystal system: hexagonal

The structure in POSCAR format:
```
Tb2PuMg6
1.0
-8.005 -2.561 3.387
1.587 -0.695 -8.895
1.098 -2.877 0.421
Tb Mg Pu
2 6 1
Direct
0.667 0.333 0.000
0.333 0.667 0.000
0.328 0.328 0.500
0.672 0.000 0.500
0.328 0.000 0.500
0.000 0.672 0.500
0.000 0.328 0.500
0.672 0.672 0.500
0.000 0.000 0.000
```

=====

Number 1: total magnetization 6.23 μB per cell. Number 2: total magnetization 6.44 μB per cell. Number 3: total magnetization 5.66 μB per cell. Number 4: total magnetization 5.73 μB per cell. Number 5: total magnetization 6.45 μB per cell. Number 6: total magnetization 5.81 μB per cell. Number 7: total magnetization 5.78 μB per cell. Number 8: total magnetization 1.84 μB per cell. Number 9: total magnetization 6.13 μB per cell. Number 10: total magnetization 6.27 μB per cell. Number 11: total magnetization 5.70 μB per cell. Number 12: total magnetization 0.12 μB per cell.